1.
DFT (PBE-GGA) results for a geometry-optimized HgSbCl3 structure.

a b c (Å): 5.339 5.339 5.339
angles (deg): 90.00 90.00 90.00
Space group Pm-3m (No. 221)
Inequivalent atoms, fractional coordinates:
Hg: 0.000 0.000 0.000 x1
Sb: 0.500 0.500 0.500 x1
Cl: 0.000 0.500 0.500 x3

Summary:
ΔE_f (raw): -264 kJ/mol of formula units
VASP energy: -2.541 eV per atom
D(E_F): 0.00 states/eV/f.u.

=====

2.
DFT (PBE-GGA) results for a geometry-optimized Tb3Pr3TmTe8 structure.

a b c (Å): 8.8269 8.8269 21.8838
angles (deg): 90.00 90.00 120.00
Space group R-3m (No. 166, hexagonal axes)
Inequivalent atoms, fractional coordinates:
Tb: 0.0000 0.5000 0.0000 x9
Pr: 0.0000 0.5000 0.5000 x9
Tm: 0.0000 0.0000 0.0000 x3
Te: 0.0000 0.0000 0.2541 x6
Te: 0.0040 0.5020 0.2531 x18

Summary:
ΔE_f (raw): -2041 kJ/mol of formula units
VASP energy: -5.266 eV per atom
D(E_F): 6.95 states/eV/f.u.